{
  "formula": "KAg2WSe4",
  "functional": "PBE",
  "state": "optimized geometry",
  "cell": [[0.0000, 4.9609, 4.7192], [4.9564, 0.0000, 4.7192], [4.9564, 4.9609, 0.0000]],
  "species": ["K", "Ag", "Ag", "W", "Se", "Se", "Se", "Se"],
  "fractional_positions": [[0.0000, 0.0000, 0.0000], [0.2513, 0.2513, 0.2487], [0.7513, 0.7513, 0.7487], [0.5014, 0.5014, 0.4986], [0.1607, 0.5509, 0.4491], [0.4514, 0.8422, 0.5486], [0.5509, 0.1607, 0.8393], [0.8422, 0.4514, 0.1578]],
  "crystal_system": "orthorhombic",
  "raw_formation_energy_ev_per_atom": -0.341
}


{
  "formula": "HfThAs2Rh5",
  "functional": "PBE",
  "state": "optimized geometry",
  "cell": [[4.0480, 0.0000, 0.0000], [0.0000, 4.0480, 0.0000], [0.0000, 0.0000, 11.0377]],
  "species": ["Hf", "Th", "As", "As", "Rh", "Rh", "Rh", "Rh", "Rh"],
  "fractional_positions": [[0.0000, 0.0000, 0.0000], [0.5000, 0.5000, 0.5000], [0.0000, 0.0000, 0.2827], [0.0000, 0.0000, 0.7173], [0.0000, 0.0000, 0.5000], [0.0000, 0.5000, 0.1616], [0.0000, 0.5000, 0.8384], [0.5000, 0.0000, 0.1616], [0.5000, 0.0000, 0.8384]],
  "formation_energy_ev_per_atom": -0.403,
  "crystal_system": "tetragonal"
}


{
  "formula": "Sr2HgAs",
  "functional": "PBE",
  "state": "optimized geometry",
  "cell": [[6.2115, 0.0000, 0.0000], [0.0000, 6.2115, 0.0000], [0.0000, 0.0000, 17.9097]],
  "species": ["Sr", "Sr", "Sr", "Sr", "Sr", "Sr", "Sr", "Sr", "Hg", "Hg", "Hg", "Hg", "As", "As", "As", "As"],
  "fractional_positions": [[0.2125, 0.2500, 0.1250], [0.2500, 0.7125, 0.3750], [0.2500, 0.7875, 0.8750], [0.2875, 0.2500, 0.6250], [0.7125, 0.7500, 0.6250], [0.7500, 0.2125, 0.8750], [0.7500, 0.2875, 0.3750], [0.7875, 0.7500, 0.1250], [0.0000, 0.0000, 0.5000], [0.0000, 0.5000, 0.7500], [0.5000, 0.0000, 0.2500], [0.5000, 0.5000, 0.0000], [0.0000, 0.0000, 0.0000], [0.0000, 0.5000, 0.2500], [0.5000, 0.0000, 0.7500], [0.5000, 0.5000, 0.5000]],
  "polymorph_energy_mev_per_atom": 422,
  "formation_energy_ev_per_atom": -0.405,
  "crystal_system": "tetragonal"
}


{
  "formula": "FeCoSb2",
  "functional": "PBE",
  "state": "optimized geometry",
  "cell": [[3.9408, 0.0000, 0.0000], [-1.9704, 3.4128, 0.0000], [0.0000, 0.0000, 18.1379]],
  "species": ["Fe", "Fe", "Fe", "Co", "Co", "Co", "Sb", "Sb", "Sb", "Sb", "Sb", "Sb"],
  "fractional_positions": [[0.0000, 0.0000, 0.0000], [0.3333, 0.6667, 0.6667], [0.6667, 0.3333, 0.3333], [0.0000, 0.0000, 0.6888], [0.3333, 0.6667, 0.3555], [0.6667, 0.3333, 0.0222], [0.0000, 0.0000, 0.2549], [0.0000, 0.0000, 0.4326], [0.3333, 0.6667, 0.0992], [0.3333, 0.6667, 0.9216], [0.6667, 0.3333, 0.5883], [0.6667, 0.3333, 0.7659]],
  "crystal_system": "trigonal",
  "raw_formation_energy_ev_per_atom": 0.088
}